Computed, not measured: a relaxed LaTe2Pt crystal at the PBE-GGA level of DFT.

Cell: 3.9640 3.9640 7.4804 Å, 90.00 90.00 110.49°
Element x y z (fractional)
La  0.5000  0.5000  0.2500
Pt  0.5000  0.5000  0.7500
Te  0.0000  0.0000  0.9692
Te  0.0000  0.0000  0.5308

Output
SG: No. 65
Energy (eV/atom): -4.87

---

Computed, not measured: a relaxed La2TePt crystal at the PBE-GGA level of DFT.

Cell: 3.8338 3.8674 8.1234 Å, 69.08 90.00 90.00°
Element x y z (fractional)
La  0.0000  0.0391  0.0226
La  0.0000  0.4609  0.4774
Pt  0.5000  0.2500  0.2500
Te  0.5000  0.7500  0.7500

Output
SG: No. 10
Energy (eV/atom): -5.96

---

Computed, not measured: a relaxed LaTePt crystal at the PBE-GGA level of DFT.

Cell: 4.4399 6.0704 6.7906 Å, 94.46 90.01 111.38°
Element x y z (fractional)
Te  0.3357  0.1733  0.8120
Te  0.6643  0.8267  0.1880
Pt  0.9192  0.3416  0.6354
Pt  0.0808  0.6584  0.3646
La  0.3786  0.2568  0.3102
La  0.6214  0.7432  0.6898

Output
SG: No. 2
Energy (eV/atom): -5.96

---

Computed, not measured: a relaxed La2TePt crystal at the PBE-GGA level of DFT.

Cell: 6.4459 6.4459 6.4459 Å, 140.09 140.09 57.71°
Element x y z (fractional)
La  0.0000  0.0000  0.0000
La  0.2500  0.7500  0.5000
Pt  0.5000  0.5000  0.0000
Te  0.7500  0.2500  0.5000

Output
SG: No. 119
Energy (eV/atom): -5.82

---

Computed, not measured: a relaxed LaTePt2 crystal at the PBE-GGA level of DFT.

Cell: 4.4376 4.0608 5.5593 Å, 89.98 90.00 90.00°
Element x y z (fractional)
La  0.5000  0.7500  0.7500
Pt  0.0000  0.2502  0.9852
Pt  0.0000  0.2498  0.5148
Te  0.5000  0.2500  0.2500

Output
SG: No. 47
Energy (eV/atom): -5.94

---

Computed, not measured: a relaxed LaTePt crystal at the PBE-GGA level of DFT.

Cell: 5.5278 5.5278 5.5318 Å, 136.12 136.12 63.73°
Element x y z (fractional)
La  0.0049  0.0049  0.0000
Pt  0.6453  0.6453  0.0000
Te  0.3497  0.3497  0.0000

Output
SG: No. 42
Energy (eV/atom): -5.61